[1]
Entry from Alexandria: an optimized crystal structure of Ta2CdBr (GGA-PBEsol).

Cell: 5.707 10.250 3.069 Å, 90.00 119.40 90.00°
Space group C2/m (No. 12)
Symmetry-distinct sites (fractional):
Ta (0.250, 0.250, 0.000) x4
Cd (0.000, 0.000, 0.000) x2
Br (0.000, 0.500, 0.000) x2

Formation energy from raw total energies ... 0.659 eV per atom
Energy relative to the lowest polymorph listed for this composition ... 0.120 eV per atom

[2]
Entry from Alexandria: an optimized crystal structure of TaCdBr2 (GGA-PBEsol).

Cell: 3.2782 3.2782 31.6822 Å, 90.00 90.00 120.00°
Space group R-3m (No. 166, hexagonal axes)
Symmetry-distinct sites (fractional):
Ta (0.0000, 0.0000, 0.0000) x3
Cd (0.0000, 0.0000, 0.5000) x3
Br (0.0000, 0.0000, 0.0762) x6

Formation energy from raw total energies ... 0.127 eV per atom

[3]
Entry from Alexandria: an optimized crystal structure of Ta2CdBr (GGA-PBEsol).

Cell: 3.032 3.032 7.685 Å, 90.00 90.00 90.00°
Space group P4/mmm (No. 123)
Symmetry-distinct sites (fractional):
Ta (0.000, 0.000, 0.233) x2
Cd (0.500, 0.500, 0.500) x1
Br (0.500, 0.500, 0.000) x1

Formation energy from raw total energies ... 0.539 eV per atom
Energy relative to the lowest polymorph listed for this composition ... 0.000 eV per atom